(1)
The following is a PBE calculation of an optimized crystal structure of LiSmGe2Pt4, from Alexandria.

Results
Its space group is R-3m, No. 166. The calculation puts the calculated formation energy at -6.03 eV/f.u.

abc: 8.962 8.962 8.962
angles: 27.61 27.61 27.61
Fractional coordinates of all 8 atoms:
1 Li 0.000 0.000 0.000
2 Sm 0.500 0.500 0.500
3 Ge 0.260 0.260 0.260
4 Ge 0.740 0.740 0.740
5 Pt 0.096 0.096 0.096
6 Pt 0.364 0.364 0.364
7 Pt 0.636 0.636 0.636
8 Pt 0.904 0.904 0.904

=====

(2)
The following is a PBE calculation of an optimized crystal structure of GaSe2BrN, from Alexandria.

Results
As for the formation energy without anion corrections: 1.192 eV per atom. Its space group is P4/mmm, No. 123. The calculation puts the polymorph energy (0 for the lowest one) at 2.96 eV/f.u.

abc: 5.035 5.035 5.393
angles: 90.00 90.00 90.00
Fractional coordinates of all 5 atoms:
1 Ga 0.000 0.000 0.000
2 Se 0.000 0.500 0.000
3 Se 0.500 0.000 0.000
4 Br 0.000 0.000 0.500
5 N 0.500 0.500 0.500

=====

Number 1: total magnetic moment 0.000 μB/atom. Number 2: total magnetic moment 0.917 μB/atom.